# 1
A geometry-optimized HfCr2Mo structure. Source: Alexandria via LeMat-Bulk, functional GGA-PBE.

Lattice parameters (Å, degrees): 6.198 6.198 6.198 90.00 90.00 90.00
Space group Fm-3m (No. 225)
Inequivalent atoms, fractional coordinates:
Hf  0.000  0.000  0.000 x4
Cr  0.250  0.250  0.250 x8
Mo  0.000  0.000  0.500 x4

Computed properties:
- total magnetization (μB/atom) = 0.00
- final energy (eV/cell) = -158.59
- ΔE to the lowest computed polymorph (kJ/mol of atoms) = 2.5

---

# 2
A geometry-optimized HfCr2Mo structure. Source: Alexandria via LeMat-Bulk, functional GGA-PBE.

Lattice parameters (Å, degrees): 3.083 3.083 6.317 90.00 90.00 90.00
Space group P4/mmm (No. 123)
Inequivalent atoms, fractional coordinates:
Hf  0.000  0.000  0.000 x1
Cr  0.500  0.500  0.270 x2
Mo  0.000  0.000  0.500 x1

Computed properties:
- total magnetization (μB/atom) = 0.00
- final energy (eV/cell) = -39.75
- ΔE to the lowest computed polymorph (kJ/mol of atoms) = 0.0

---

# 3
A geometry-optimized HfCrMo3 structure. Source: Alexandria via LeMat-Bulk, functional GGA-PBE.

Lattice parameters (Å, degrees): 4.514 4.514 4.514 90.00 90.00 90.00
Space group Pm-3m (No. 221)
Inequivalent atoms, fractional coordinates:
Hf  0.000  0.000  0.000 x1
Cr  0.500  0.500  0.500 x1
Mo  0.000  0.500  0.500 x3

Computed properties:
- total magnetization (μB/atom) = 0.00
- final energy (eV/cell) = -47.77
- ΔE to the lowest computed polymorph (kJ/mol of atoms) = 0.0

---

# 4
A geometry-optimized HfCrMo3 structure. Source: Alexandria via LeMat-Bulk, functional GGA-PBE.

Lattice parameters (Å, degrees): 4.718 4.718 4.718 90.00 90.00 90.00
Space group Pm-3m (No. 221)
Inequivalent atoms, fractional coordinates:
Hf  0.000  0.000  0.000 x1
Cr  0.500  0.500  0.500 x1
Mo  0.000  0.000  0.500 x3

Computed properties:
- total magnetization (μB/atom) = 0.03
- final energy (eV/cell) = -39.94
- ΔE to the lowest computed polymorph (kJ/mol of atoms) = 151.1

---

# 5
A geometry-optimized Hf2CrMo structure. Source: Alexandria via LeMat-Bulk, functional GGA-PBE.

Lattice parameters (Å, degrees): 4.667 4.667 3.288 90.00 90.00 90.00
Space group P4/mmm (No. 123)
Inequivalent atoms, fractional coordinates:
Hf  0.000  0.500  0.000 x2
Cr  0.000  0.000  0.500 x1
Mo  0.500  0.500  0.500 x1

Computed properties:
- total magnetization (μB/atom) = 0.61
- final energy (eV/cell) = -40.18

---

# 6
A geometry-optimized HfCrMo2 structure. Source: Alexandria via LeMat-Bulk, functional GGA-PBE.

Lattice parameters (Å, degrees): 3.142 3.142 6.487 90.00 90.00 90.00
Space group P4/mmm (No. 123)
Inequivalent atoms, fractional coordinates:
Hf  0.000  0.000  0.000 x1
Cr  0.000  0.000  0.500 x1
Mo  0.500  0.500  0.275 x2

Computed properties:
- total magnetization (μB/atom) = 0.00
- final energy (eV/cell) = -41.05
- ΔE to the lowest computed polymorph (kJ/mol of atoms) = 0.0

---

# 7
A geometry-optimized HfCrMo2 structure. Source: Alexandria via LeMat-Bulk, functional GGA-PBE.

Lattice parameters (Å, degrees): 6.329 6.329 6.329 90.00 90.00 90.00
Space group Fm-3m (No. 225)
Inequivalent atoms, fractional coordinates:
Hf  0.000  0.000  0.000 x4
Cr  0.000  0.000  0.500 x4
Mo  0.250  0.250  0.250 x8

Computed properties:
- total magnetization (μB/atom) = 0.00
- final energy (eV/cell) = -163.37
- ΔE to the lowest computed polymorph (kJ/mol of atoms) = 5.0

---

# 8
A geometry-optimized HfCr2Mo structure. Source: Alexandria via LeMat-Bulk, functional GGA-PBE.

Lattice parameters (Å, degrees): 6.910 6.910 5.422 90.00 90.00 90.00
Space group I-42d (No. 122)
Inequivalent atoms, fractional coordinates:
Hf  0.000  0.000  0.000 x4
Cr  0.222  0.750  0.625 x8
Mo  0.000  0.000  0.500 x4

Computed properties:
- total magnetization (μB/atom) = 0.19
- final energy (eV/cell) = -149.13
- ΔE to the lowest computed polymorph (kJ/mol of atoms) = 59.5

---

# 9
A geometry-optimized Hf2CrMo structure. Source: Alexandria via LeMat-Bulk, functional GGA-PBE.

Lattice parameters (Å, degrees): 2.8488 2.8488 31.3226 90.00 90.00 120.00
Space group R-3m (No. 166, hexagonal axes)
Inequivalent atoms, fractional coordinates:
Hf  0.0000  0.0000  0.0831 x6
Cr  0.0000  0.0000  0.0000 x3
Mo  0.0000  0.0000  0.5000 x3

Computed properties:
- total magnetization (μB/atom) = 0.00
- final energy (eV/cell) = -112.32

---

# 10
A geometry-optimized Hf2CrMo3 structure. Source: Alexandria via LeMat-Bulk, functional GGA-PBE.

Lattice parameters (Å, degrees): 5.3196 5.3196 12.7291 90.00 90.00 120.00
Space group R-3m (No. 166, hexagonal axes)
Inequivalent atoms, fractional coordinates:
Hf  0.0000  0.0000  0.1256 x6
Cr  0.0000  0.0000  0.5000 x3
Mo  0.0000  0.5000  0.0000 x9

Computed properties:
- total magnetization (μB/atom) = 0.00
- final energy (eV/cell) = -188.82

---

# 11
A geometry-optimized HfCrMo2 structure. Source: Alexandria via LeMat-Bulk, functional GGA-PBE.

Lattice parameters (Å, degrees): 3.721 3.721 20.187 90.00 90.00 90.00
Space group I-42d (No. 122)
Inequivalent atoms, fractional coordinates:
Hf  0.000  0.000  0.000 x4
Cr  0.000  0.000  0.500 x4
Mo  0.245  0.750  0.625 x8

Computed properties:
- total magnetization (μB/atom) = 0.41
- final energy (eV/cell) = -153.57
- ΔE to the lowest computed polymorph (kJ/mol of atoms) = 64.1

---

# 12
A geometry-optimized HfCr3Mo structure. Source: Alexandria via LeMat-Bulk, functional GGA-PBE.

Lattice parameters (Å, degrees): 4.486 4.486 4.486 90.00 90.00 90.00
Space group Pm-3m (No. 221)
Inequivalent atoms, fractional coordinates:
Hf  0.000  0.000  0.000 x1
Cr  0.000  0.500  0.500 x3
Mo  0.500  0.500  0.500 x1

Computed properties:
- total magnetization (μB/atom) = 0.85
- final energy (eV/cell) = -43.70
- ΔE to the lowest computed polymorph (kJ/mol of atoms) = 0.0

---

# 13
A geometry-optimized Hf2CrMo structure. Source: Alexandria via LeMat-Bulk, functional GGA-PBE.

Lattice parameters (Å, degrees): 7.264 7.264 5.681 90.00 90.00 90.00
Space group I-42d (No. 122)
Inequivalent atoms, fractional coordinates:
Hf  0.240  0.250  0.125 x8
Cr  0.000  0.000  0.000 x4
Mo  0.000  0.000  0.500 x4

Computed properties:
- total magnetization (μB/atom) = 0.49
- final energy (eV/cell) = -150.34

---

# 14
A geometry-optimized HfCrMoP2 structure. Source: Alexandria via LeMat-Bulk, functional GGA-PBE.

Lattice parameters (Å, degrees): 4.823 4.823 4.816 90.00 90.00 90.00
Space group P4/mmm (No. 123)
Inequivalent atoms, fractional coordinates:
Hf  0.000  0.000  0.000 x1
Cr  0.500  0.500  0.500 x1
Mo  0.000  0.000  0.500 x1
P  0.000  0.500  0.000 x2

Computed properties:
- total magnetization (μB/atom) = 0.17
- final energy (eV/cell) = -32.51

---

# 15
A geometry-optimized HfCrReMo structure. Source: Alexandria via LeMat-Bulk, functional GGA-PBE.

Lattice parameters (Å, degrees): 6.310 6.310 6.310 90.00 90.00 90.00
Space group F-43m (No. 216)
Inequivalent atoms, fractional coordinates:
Hf  0.000  0.000  0.000 x4
Cr  0.250  0.250  0.750 x4
Re  0.250  0.250  0.250 x4
Mo  0.000  0.000  0.500 x4

Computed properties:
- total magnetization (μB/atom) = 0.00
- final energy (eV/cell) = -172.66

---

# 16
A geometry-optimized HfTaCrMo structure. Source: Alexandria via LeMat-Bulk, functional GGA-PBE.

Lattice parameters (Å, degrees): 6.463 6.463 6.463 90.00 90.00 90.00
Space group F-43m (No. 216)
Inequivalent atoms, fractional coordinates:
Hf  0.000  0.000  0.000 x4
Ta  0.000  0.000  0.500 x4
Cr  0.250  0.250  0.750 x4
Mo  0.250  0.250  0.250 x4

Computed properties:
- total magnetization (μB/atom) = 0.40
- final energy (eV/cell) = -168.87

---

# 17
A geometry-optimized HfCrTcMo structure. Source: Alexandria via LeMat-Bulk, functional GGA-PBE.

Lattice parameters (Å, degrees): 6.292 6.292 6.292 90.00 90.00 90.00
Space group F-43m (No. 216)
Inequivalent atoms, fractional coordinates:
Hf  0.000  0.000  0.000 x4
Cr  0.250  0.250  0.750 x4
Tc  0.250  0.250  0.250 x4
Mo  0.000  0.000  0.500 x4

Computed properties:
- total magnetization (μB/atom) = 0.00
- final energy (eV/cell) = -164.80

---

# 18
A geometry-optimized HfTiCrMo structure. Source: Alexandria via LeMat-Bulk, functional GGA-PBE.

Lattice parameters (Å, degrees): 6.453 6.453 6.453 90.00 90.00 90.00
Space group F-43m (No. 216)
Inequivalent atoms, fractional coordinates:
Hf  0.000  0.000  0.000 x4
Ti  0.000  0.000  0.500 x4
Cr  0.250  0.250  0.250 x4
Mo  0.250  0.250  0.750 x4

Computed properties:
- total magnetization (μB/atom) = 0.74
- final energy (eV/cell) = -152.36

---

# 19
A geometry-optimized HfTlCr2Mo structure. Source: Alexandria via LeMat-Bulk, functional GGA-PBE.

Lattice parameters (Å, degrees): 4.864 4.864 5.123 90.00 90.00 90.00
Space group P4/mmm (No. 123)
Inequivalent atoms, fractional coordinates:
Hf  0.000  0.000  0.000 x1
Tl  0.500  0.500  0.500 x1
Cr  0.000  0.500  0.500 x2
Mo  0.500  0.500  0.000 x1

Computed properties:
- total magnetization (μB/atom) = 1.58
- final energy (eV/cell) = -32.86

---

# 20
A geometry-optimized Hf2CrN structure. Source: Alexandria via LeMat-Bulk, functional GGA-PBE.

Lattice parameters (Å, degrees): 3.1380 3.1380 23.6668 90.00 90.00 120.00
Space group R-3m (No. 166, hexagonal axes)
Inequivalent atoms, fractional coordinates:
Hf  0.0000  0.0000  0.1123 x6
Cr  0.0000  0.0000  0.0000 x3
N  0.0000  0.0000  0.5000 x3

Computed properties:
- total magnetization (μB/atom) = 0.76
- final energy (eV/cell) = -117.09
- formation energy without anion corrections (eV per atom) = -0.293